8
Lattice="-1.806 3.277 4.774 1.806 -3.277 4.774 1.806 3.277 -4.774" Properties=species:S:1:pos:R:3 comment="HoAl2Ni5, relaxed, DFT GGA-PBE" total_magnetization_mub_per_cell=0.0 delta_e_f_ev_per_atom=-0.401 pbc="T T T"
Ho 0.000 0.000 0.000
Al 1.806 0.000 2.456
Al 0.000 3.277 2.317
Ni 1.806 2.023 -1.268
Ni 1.806 2.023 1.268
Ni 0.000 3.277 0.000
Ni 0.000 1.254 3.506
Ni 0.000 1.254 6.041



12
Lattice="2.400 1.386 7.690 -2.400 1.386 7.690 0.000 -2.772 7.690" Properties=species:S:1:pos:R:3 comment="HoAl2Ni9, relaxed, DFT GGA-PBE" relative_energy_ev_per_atom=0.054 total_magnetization_mub_per_cell=0.1 delta_e_f_ev_per_atom=-0.318 pbc="T T T"
Ho 0.000 0.000 0.000
Al 0.000 0.000 3.315
Al 0.000 0.000 19.755
Ni -1.223 -0.706 9.706
Ni 0.000 0.000 7.708
Ni 0.000 -1.412 13.364
Ni -1.223 0.706 13.364
Ni 0.000 0.000 11.535
Ni 1.223 -0.706 9.706
Ni 0.000 1.412 9.706
Ni 0.000 0.000 15.363
Ni 1.223 0.706 13.364



| no. | DOS(E_F) (states/eV/f.u.) |
| --- | --- |
| 1 | 4.441 |
| 2 | 16.899 |